No. 1
ScV2Zn2, relaxed, DFT PBE; ΔE to the lowest computed polymorph = 0.715 eV per atom; DFT formation energy = 76.2 kJ/mol of atoms; space group = No. 123; D(E_F) = 6.576 states/eV/cell
1.0
4.725 0.000 0.000
0.000 4.725 0.000
0.000 0.000 4.442
V Zn Sc
2 2 1
direct
0.500 0.000 0.000
0.000 0.500 0.000
0.000 0.000 0.500
0.000 0.000 0.000
0.500 0.500 0.500

No. 2
AcLa12Sm7, relaxed, DFT PBE; ΔE to the lowest computed polymorph = 0.362 eV per atom; DFT formation energy = 51.8 kJ/mol of atoms; space group = No. 204; D(E_F) = 30.574 states/eV/cell
1.0
9.582 0.000 -3.388
-4.791 8.298 -3.388
0.000 0.000 10.163
La Sm Ac
12 7 1
direct
0.715 0.230 0.945
0.715 0.770 0.486
0.055 0.285 0.770
0.770 0.486 0.715
0.285 0.770 0.055
0.285 0.230 0.514
0.486 0.715 0.770
0.230 0.945 0.715
0.514 0.285 0.230
0.770 0.055 0.285
0.230 0.514 0.285
0.945 0.715 0.230
0.000 0.500 0.500
0.000 0.000 0.500
0.500 0.500 0.500
0.000 0.500 0.000
0.500 0.000 0.500
0.500 0.500 0.000
0.500 0.000 0.000
0.000 0.000 0.000